First-principles (SCAN) data for a PBEsol-optimized structure of BeCu2Te, as listed in Alexandria via LeMat-Bulk.

Unit cell a=6.1974 b=6.1974 c=6.1974 alpha=90.00 beta=90.00 gamma=90.00
Last column: nearest neighbours and their distance in Å.
Space group F-43m (No. 216)
Inequivalent atoms, fractional coordinates:
Be 0.0000 0.0000 0.0000 [4 per cell]  4 Te 2.68, 4 Cu 2.68
Cu 0.0000 0.0000 0.5000 [4 per cell]  4 Te 2.68, 4 Cu 2.68
Cu 0.2500 0.2500 0.7500 [4 per cell]  4 Be 2.68, 4 Cu 2.68
Te 0.2500 0.2500 0.2500 [4 per cell]  4 Cu 2.68, 4 Be 2.68

Summary:
ΔE_f (raw) = 515 meV/atom
Fermi-level density of states = 0.20 states/eV per atom

First-principles (SCAN) data for a PBEsol-optimized structure of BeCuTe3, as listed in Alexandria via LeMat-Bulk.

Unit cell a=5.0423 b=5.0423 c=5.0423 alpha=90.00 beta=90.00 gamma=90.00
Last column: nearest neighbours and their distance in Å.
Space group Pm-3m (No. 221)
Inequivalent atoms, fractional coordinates:
Be 0.0000 0.0000 0.0000 [1 per cell]  12 Te 3.57
Cu 0.5000 0.5000 0.5000 [1 per cell]  6 Te 2.52
Te 0.0000 0.5000 0.5000 [3 per cell]  2 Cu 2.52

Summary:
ΔE_f (raw) = 905 meV/atom
Fermi-level density of states = 1.00 states/eV per atom

First-principles (SCAN) data for a PBEsol-optimized structure of BeCuTe2, as listed in Alexandria via LeMat-Bulk.

Unit cell a=5.7278 b=5.7278 c=11.2525 alpha=90.00 beta=90.00 gamma=90.00
Last column: nearest neighbours and their distance in Å.
Space group I-42d (No. 122)
Inequivalent atoms, fractional coordinates:
Be 0.0000 0.0000 0.0000 [4 per cell]  4 Te 2.42
Cu 0.0000 0.0000 0.5000 [4 per cell]  4 Te 2.51
Te 0.2356 0.2500 0.1250 [8 per cell]  2 Be 2.42, 2 Cu 2.51

Summary:
ΔE_f (raw) = -193 meV/atom
Fermi-level density of states = 0.61 states/eV per atom

First-principles (SCAN) data for a PBEsol-optimized structure of Ti6Be15Cu8, as listed in Alexandria via LeMat-Bulk.

Unit cell a=10.6438 b=10.6438 c=10.6438 alpha=90.00 beta=90.00 gamma=90.00
Last column: nearest neighbours and their distance in Å.
Space group Fm-3m (No. 225)
Inequivalent atoms, fractional coordinates:
Ti 0.0000 0.0000 0.1968 [24 per cell]  8 Be 2.62-2.72, 4 Cu 2.66
Be 0.0000 0.0000 0.5000 [4 per cell]  8 Cu 2.25
Be 0.0000 0.2500 0.2500 [24 per cell]  4 Be 2.18, 4 Cu 2.32
Be 0.1730 0.1730 0.1730 [32 per cell]  6 Be 2.18-2.32, 3 Cu 2.31
Cu 0.1219 0.1219 0.3781 [32 per cell]  7 Be 2.25-2.32

Summary:
Calculated formation energy = -290 meV per atom
Fermi-level density of states = 0.43 states/eV per atom

First-principles (SCAN) data for a PBEsol-optimized structure of TiBe2Cu, as listed in Alexandria via LeMat-Bulk.

Unit cell a=5.5493 b=5.5493 c=5.5493 alpha=90.00 beta=90.00 gamma=90.00
Last column: nearest neighbours and their distance in Å.
Space group Fm-3m (No. 225)
Inequivalent atoms, fractional coordinates:
Ti 0.0000 0.0000 0.0000 [4 per cell]  8 Be 2.40
Be 0.2500 0.2500 0.2500 [8 per cell]  4 Cu 2.40, 4 Ti 2.40
Cu 0.0000 0.0000 0.5000 [4 per cell]  8 Be 2.40

Summary:
Calculated formation energy = -141 meV per atom
Fermi-level density of states = 0.48 states/eV per atom

First-principles (SCAN) data for a PBEsol-optimized structure of Be2TlCu, as listed in Alexandria via LeMat-Bulk.

Unit cell a=2.9510 b=3.9563 c=4.8962 alpha=90.00 beta=98.64 gamma=90.00
Last column: nearest neighbours and their distance in Å.
Space group P2/m (No. 10)
Inequivalent atoms, fractional coordinates:
Be 0.2035 0.0000 0.3216 [2 per cell]  2 Be 2.26-2.28, 2 Cu 2.28
Tl 0.0000 0.5000 0.0000 [1 per cell]  4 Be 2.54, 2 Cu 2.66
Cu 0.5000 0.5000 0.5000 [1 per cell]  4 Be 2.28

Summary:
Calculated formation energy = 432 meV per atom
Fermi-level density of states = 0.23 states/eV per atom

First-principles (SCAN) data for a PBEsol-optimized structure of BeTl2Cu, as listed in Alexandria via LeMat-Bulk.

Unit cell a=3.5486 b=3.9921 c=5.3486 alpha=90.00 beta=90.00 gamma=90.00
Last column: nearest neighbours and their distance in Å.
Space group Pmmm (No. 47)
Inequivalent atoms, fractional coordinates:
Be 0.0000 0.0000 0.0000 [1 per cell]  4 Tl 2.67
Tl 0.0000 0.5000 0.5000 [1 per cell]  4 Cu 2.67
Tl 0.5000 0.5000 0.0000 [1 per cell]  4 Be 2.67
Cu 0.5000 0.0000 0.5000 [1 per cell]  4 Tl 2.67

Summary:
Calculated formation energy = 609 meV per atom
Fermi-level density of states = 0.38 states/eV per atom

First-principles (SCAN) data for a PBEsol-optimized structure of Be2TlCu, as listed in Alexandria via LeMat-Bulk.

Unit cell a=5.1392 b=8.2899 c=3.0586 alpha=90.00 beta=118.13 gamma=90.00
Last column: nearest neighbours and their distance in Å.
Space group C2/m (No. 12)
Inequivalent atoms, fractional coordinates:
Be 0.2500 0.2500 0.0000 [4 per cell]  2 Tl 2.44, 2 Cu 2.44, 2 Be 2.57
Tl 0.0000 0.0000 0.0000 [2 per cell]  4 Be 2.44, 2 Cu 2.57
Cu 0.0000 0.5000 0.0000 [2 per cell]  4 Be 2.44, 2 Tl 2.57

Summary:
Calculated formation energy = 540 meV per atom
Fermi-level density of states = 0.24 states/eV per atom

First-principles (SCAN) data for a PBEsol-optimized structure of BeTl3Cu, as listed in Alexandria via LeMat-Bulk.

Unit cell a=5.0729 b=5.0729 c=5.0729 alpha=90.00 beta=90.00 gamma=90.00
Last column: nearest neighbours and their distance in Å.
Space group Pm-3m (No. 221)
Inequivalent atoms, fractional coordinates:
Be 0.0000 0.0000 0.0000 [1 per cell]  12 Tl 3.59
Tl 0.0000 0.5000 0.5000 [3 per cell]  2 Cu 2.54
Cu 0.5000 0.5000 0.5000 [1 per cell]  6 Tl 2.54

Summary:
Calculated formation energy = 705 meV per atom
Fermi-level density of states = 0.51 states/eV per atom

First-principles (SCAN) data for a PBEsol-optimized structure of Be2TlCu, as listed in Alexandria via LeMat-Bulk.

Unit cell a=3.7839 b=3.7839 c=7.3034 alpha=90.00 beta=90.00 gamma=90.00
Last column: nearest neighbours and their distance in Å.
Space group I4/mmm (No. 139)
Inequivalent atoms, fractional coordinates:
Be 0.0000 0.5000 0.2500 [4 per cell]  4 Tl 2.63, 4 Cu 2.63, 4 Be 2.68
Tl 0.0000 0.0000 0.0000 [2 per cell]  8 Be 2.63, 4 Cu 2.68
Cu 0.0000 0.0000 0.5000 [2 per cell]  8 Be 2.63, 4 Tl 2.68

Summary:
Calculated formation energy = 454 meV per atom
Fermi-level density of states = 0.28 states/eV per atom

First-principles (SCAN) data for a PBEsol-optimized structure of Be2TlCu, as listed in Alexandria via LeMat-Bulk.

Unit cell a=5.9117 b=5.9117 c=5.9117 alpha=90.00 beta=90.00 gamma=90.00
Last column: nearest neighbours and their distance in Å.
Space group Fm-3m (No. 225)
Inequivalent atoms, fractional coordinates:
Be 0.2500 0.2500 0.2500 [8 per cell]  4 Tl 2.56, 4 Cu 2.56
Tl 0.0000 0.0000 0.0000 [4 per cell]  8 Be 2.56
Cu 0.0000 0.0000 0.5000 [4 per cell]  8 Be 2.56

Summary:
Calculated formation energy = 462 meV per atom
Fermi-level density of states = 0.26 states/eV per atom

First-principles (SCAN) data for a PBEsol-optimized structure of TmBeCu4, as listed in Alexandria via LeMat-Bulk.

Unit cell a=4.8626 b=4.8626 c=11.3612 alpha=90.00 beta=90.00 gamma=120.00
Last column: nearest neighbours and their distance in Å.
Space group R3m (No. 160, hexagonal axes)
Inequivalent atoms, fractional coordinates:
Tm 0.0000 0.0000 0.0000 [3 per cell]  13 Cu 2.79-2.95, 3 Be 2.86
Be 0.0000 0.0000 0.6177 [3 per cell]  6 Cu 2.31-2.40
Cu 0.0000 0.0000 0.2526 [3 per cell]  9 Cu 2.69-2.85, 3 Be 2.83, 4 Tm 2.87-2.95
Cu 0.0032 0.5016 0.1220 [9 per cell]  2 Be 2.31-2.40, 4 Cu 2.41-2.45

Summary:
Calculated formation energy = -256 meV per atom
Fermi-level density of states = 0.36 states/eV per atom

First-principles (SCAN) data for a PBEsol-optimized structure of BeCuW2, as listed in Alexandria via LeMat-Bulk.

Unit cell a=2.6579 b=2.6579 c=7.2161 alpha=90.00 beta=90.00 gamma=90.00
Last column: nearest neighbours and their distance in Å.
Space group P4/mmm (No. 123)
Inequivalent atoms, fractional coordinates:
Be 0.0000 0.0000 0.0000 [1 per cell]  8 W 2.50, 4 Be 2.66
Cu 0.0000 0.0000 0.5000 [1 per cell]  4 Cu 2.66, 8 W 2.72
W 0.5000 0.5000 0.2280 [2 per cell]  4 Be 2.50, 4 W 2.66, 4 Cu 2.72

Summary:
Calculated formation energy = 249 meV per atom
Fermi-level density of states = 0.48 states/eV per atom